Density functional theory data (PBE) for a relaxed RbZn4In12 crystal.

Unit cell a=8.4821 b=8.4821 c=8.4821 alpha=109.47 beta=109.47 gamma=109.47
Element x y z (fractional)
1 Rb 0.0000 0.0000 0.0000
2 Zn 0.0000 0.0000 0.5000
3 Zn 0.0000 0.5000 0.0000
4 Zn 0.5000 0.0000 0.0000
5 Zn 0.5000 0.5000 0.5000
6 In 0.1608 0.5088 0.3480
7 In 0.1608 0.8128 0.6520
8 In 0.1872 0.3480 0.8392
9 In 0.3480 0.1608 0.5088
10 In 0.3480 0.8392 0.1872
11 In 0.4912 0.6520 0.8392
12 In 0.5088 0.3480 0.1608
13 In 0.6520 0.1608 0.8128
14 In 0.6520 0.8392 0.4912
15 In 0.8128 0.6520 0.1608
16 In 0.8392 0.1872 0.3480
17 In 0.8392 0.4912 0.6520

Output
The calculation puts the formation energy at 0.09 eV/atom. Its crystal system is cubic. For the magnetization, the calculation gives 0.0 μB per cell.